# CaDy3Pu2Te6 (GGA-PBE, optimized geometry)
data_CaDy3Pu2Te6
_chemical_formula_sum 'Ca1 Dy3 Pu2 Te6'
_cell_length_a 4.383
_cell_length_b 8.845
_cell_length_c 9.868
_cell_angle_alpha 103.36
_cell_angle_beta 102.83
_cell_angle_gamma 90.00
_space_group_name_H-M_alt 'P 1'
_space_group_IT_number 1
loop_
_space_group_symop_operation_xyz
'x,y,z'
loop_
_atom_site_label
_atom_site_type_symbol
_atom_site_fract_x
_atom_site_fract_y
_atom_site_fract_z
Te1 Te 0.333 0.922 0.666
Te2 Te 0.665 0.584 0.330
Te3 Te 0.002 0.748 0.003
Te4 Te 0.335 0.416 0.670
Te5 Te 0.667 0.078 0.334
Te6 Te 0.998 0.252 0.997
Pu1 Pu 0.832 0.665 0.665
Pu2 Pu 0.168 0.335 0.335
Dy1 Dy 0.832 0.170 0.665
Dy2 Dy 0.500 0.500 0.000
Dy3 Dy 0.168 0.830 0.335
Ca1 Ca 0.500 0.000 0.000
# ΔE_f (raw): -1289 meV/atom
# Calculated density: 8162 kg/m3
# Space-group type: C2/m
# Crystal system: monoclinic

# Rb3CaDy2Se6 (GGA-PBE, optimized geometry)
data_Rb3CaDy2Se6
_chemical_formula_sum 'Rb3 Ca1 Dy2 Se6'
_cell_length_a 7.393
_cell_length_b 7.393
_cell_length_c 8.399
_cell_angle_alpha 98.43
_cell_angle_beta 98.43
_cell_angle_gamma 120.00
_space_group_name_H-M_alt 'P 1'
_space_group_IT_number 1
loop_
_space_group_symop_operation_xyz
'x,y,z'
loop_
_atom_site_label
_atom_site_type_symbol
_atom_site_fract_x
_atom_site_fract_y
_atom_site_fract_z
Se1 Se 0.590 0.934 0.803
Se2 Se 0.066 0.410 0.197
Se3 Se 0.278 0.278 0.804
Se4 Se 0.410 0.066 0.197
Se5 Se 0.934 0.590 0.803
Se6 Se 0.722 0.722 0.196
Dy1 Dy 0.667 0.333 0.000
Dy2 Dy 0.333 0.667 0.000
Ca1 Ca 0.000 0.000 0.000
Rb1 Rb 0.164 0.836 0.500
Rb2 Rb 0.836 0.164 0.500
Rb3 Rb 0.500 0.500 0.500
# ΔE_f (raw): -1591 meV/atom
# Calculated density: 4785 kg/m3
# Space-group type: C2/m
# Crystal system: monoclinic

# CaDyRe4 (GGA-PBE, optimized geometry)
data_CaDyRe4
_chemical_formula_sum 'Ca1 Dy1 Re4'
_cell_length_a 5.417
_cell_length_b 5.417
_cell_length_c 5.417
_cell_angle_alpha 60.00
_cell_angle_beta 60.00
_cell_angle_gamma 60.00
_space_group_name_H-M_alt 'P 1'
_space_group_IT_number 1
loop_
_space_group_symop_operation_xyz
'x,y,z'
loop_
_atom_site_label
_atom_site_type_symbol
_atom_site_fract_x
_atom_site_fract_y
_atom_site_fract_z
Re1 Re 0.625 0.625 0.125
Re2 Re 0.625 0.125 0.625
Re3 Re 0.625 0.625 0.625
Re4 Re 0.125 0.625 0.625
Dy1 Dy 0.000 0.000 0.000
Ca1 Ca 0.250 0.250 0.250
# VASP energy: -9.3899 eV/atom
# Calculated density: 13995 kg/m3
# Space-group type: F-43m
# Crystal system: cubic

# CaDyRh4 (GGA-PBE, optimized geometry)
data_CaDyRh4
_chemical_formula_sum 'Ca1 Dy1 Rh4'
_cell_length_a 5.340
_cell_length_b 5.340
_cell_length_c 5.340
_cell_angle_alpha 60.00
_cell_angle_beta 60.00
_cell_angle_gamma 60.00
_space_group_name_H-M_alt 'P 1'
_space_group_IT_number 1
loop_
_space_group_symop_operation_xyz
'x,y,z'
loop_
_atom_site_label
_atom_site_type_symbol
_atom_site_fract_x
_atom_site_fract_y
_atom_site_fract_z
Ca1 Ca 0.000 0.000 0.000
Dy1 Dy 0.250 0.250 0.250
Rh1 Rh 0.125 0.625 0.625
Rh2 Rh 0.625 0.125 0.625
Rh3 Rh 0.625 0.625 0.125
Rh4 Rh 0.625 0.625 0.625
# VASP energy: -6.6083 eV/atom
# Calculated density: 9470 kg/m3
# Space-group type: F-43m
# Crystal system: cubic

# CaDy3Rh (GGA-PBE, optimized geometry)
data_CaDy3Rh
_chemical_formula_sum 'Ca1 Dy3 Rh1'
_cell_length_a 5.454
_cell_length_b 5.454
_cell_length_c 5.454
_cell_angle_alpha 90.00
_cell_angle_beta 90.00
_cell_angle_gamma 90.00
_space_group_name_H-M_alt 'P 1'
_space_group_IT_number 1
loop_
_space_group_symop_operation_xyz
'x,y,z'
loop_
_atom_site_label
_atom_site_type_symbol
_atom_site_fract_x
_atom_site_fract_y
_atom_site_fract_z
Dy1 Dy 0.000 0.000 0.500
Dy2 Dy 0.500 0.000 0.000
Dy3 Dy 0.000 0.500 0.000
Ca1 Ca 0.500 0.500 0.500
Rh1 Rh 0.000 0.000 0.000
# VASP energy: -4.9236 eV/atom
# Calculated density: 6453 kg/m3
# Space-group type: Pm-3m
# Crystal system: cubic

# CaDy2Rh9 (GGA-PBE, optimized geometry)
data_CaDy2Rh9
_chemical_formula_sum 'Ca1 Dy2 Rh9'
_cell_length_a 5.279
_cell_length_b 5.279
_cell_length_c 9.252
_cell_angle_alpha 73.42
_cell_angle_beta 73.42
_cell_angle_gamma 60.00
_space_group_name_H-M_alt 'P 1'
_space_group_IT_number 1
loop_
_space_group_symop_operation_xyz
'x,y,z'
loop_
_atom_site_label
_atom_site_type_symbol
_atom_site_fract_x
_atom_site_fract_y
_atom_site_fract_z
Rh1 Rh 0.083 0.583 0.751
Rh2 Rh 0.917 0.417 0.249
Rh3 Rh 0.583 0.583 0.751
Rh4 Rh 0.417 0.417 0.249
Rh5 Rh 0.583 0.083 0.751
Rh6 Rh 0.333 0.333 0.001
Rh7 Rh 0.417 0.917 0.249
Rh8 Rh 0.500 0.500 0.500
Rh9 Rh 0.667 0.667 0.999
Dy1 Dy 0.138 0.138 0.586
Dy2 Dy 0.862 0.862 0.414
Ca1 Ca 0.000 0.000 0.000
# VASP energy: -6.9246 eV/atom
# Calculated density: 10171 kg/m3
# Space-group type: R-3m
# Crystal system: trigonal

no.,Fermi-level density of states (states/eV/atom)
1,2.05
2,0.80
3,0.54
4,0.47
5,1.13
6,1.22